The following is a PBE calculation of a relaxed structure of TePtBr2, from the Alexandria database.

Cell lengths 6.2970, 7.3629, 8.6002 Å; angles 90.00, 90.00, 90.00 degrees
Positions (direct):
Te1 0.0000 0.0000 0.0000
Te2 0.0000 0.5000 0.5000
Te3 0.5000 0.0000 0.5000
Te4 0.5000 0.5000 0.0000
Pt1 0.0000 0.0000 0.5000
Pt2 0.0000 0.5000 0.0000
Pt3 0.5000 0.0000 0.0000
Pt4 0.5000 0.5000 0.5000
Br1 0.0000 0.2500 0.2500
Br2 0.0000 0.2500 0.7500
Br3 0.0000 0.7500 0.2500
Br4 0.0000 0.7500 0.7500
Br5 0.5000 0.2500 0.2500
Br6 0.5000 0.2500 0.7500
Br7 0.5000 0.7500 0.2500
Br8 0.5000 0.7500 0.7500

Computed properties:
DFT total energy in eV for the cell shown: -43.85
Density of states at the Fermi level in states/eV/f.u.: 2.36
Raw formation energy in eV/f.u.: 1.566
V in Å³/atom: 24.9